# 1
First-principles (GGA-PBE) data for crystalline PaRhSe at its relaxed geometry, as listed in the Alexandria database.

abc: 3.632 4.318 4.318
angles: 120.00 90.00 90.00
Positions (direct):
1 Se 0.167 0.000 0.000
2 Rh 0.167 0.333 0.667
3 Pa 0.667 0.667 0.333

Computed properties:
Size of the total moment = 0.0 μB/cell
ΔE_f (raw) = -937.0 meV per atom
SG = P-6m2 (187)
Crystal system = hexagonal

# 2
First-principles (GGA-PBE) data for crystalline PaRhSe4 at its relaxed geometry, as listed in the Alexandria database.

abc: 6.497 6.529 6.728
angles: 90.00 97.83 90.00
Positions (direct):
1 Rh 0.500 0.000 0.500
2 Rh 0.000 0.500 0.500
3 Se 0.761 0.212 0.318
4 Se 0.374 0.834 0.188
5 Se 0.239 0.788 0.682
6 Se 0.739 0.712 0.682
7 Se 0.261 0.288 0.318
8 Se 0.126 0.334 0.812
9 Se 0.626 0.166 0.812
10 Se 0.874 0.666 0.188
11 Pa 0.500 0.500 0.000
12 Pa 0.000 0.000 0.000

Computed properties:
Size of the total moment = 0.0 μB/cell
ΔE_f (raw) = -777.4 meV per atom
SG = P2_1/c (14)
Crystal system = monoclinic

# 3
First-principles (GGA-PBE) data for crystalline Pa4RhSe3 at its relaxed geometry, as listed in the Alexandria database.

abc: 3.882 7.184 7.184
angles: 107.92 90.00 90.00
Positions (direct):
1 Pa 0.000 0.233 0.233
2 Pa 0.500 0.247 0.753
3 Pa 0.500 0.753 0.247
4 Pa 0.000 0.767 0.767
5 Rh 0.500 0.000 0.000
6 Se 0.500 0.500 0.500
7 Se 0.000 0.500 0.000
8 Se 0.000 0.000 0.500

Computed properties:
Size of the total moment = 0.0 μB/cell
ΔE_f (raw) = -1045.9 meV per atom
SG = Cmmm (65)
Crystal system = orthorhombic

# 4
First-principles (GGA-PBE) data for crystalline Pa6RhSe12 at its relaxed geometry, as listed in the Alexandria database.

abc: 8.142 8.142 8.142
angles: 100.56 100.56 100.56
Each line ends with the local moment (μB).
Positions (direct):
1 Se 0.823 0.575 0.434  -0.04
2 Se 0.035 0.690 0.941  -0.02
3 Se 0.575 0.434 0.823  -0.04
4 Se 0.566 0.177 0.425  -0.04
5 Se 0.965 0.310 0.059  -0.02
6 Se 0.434 0.823 0.575  -0.04
7 Se 0.690 0.941 0.035  -0.02
8 Se 0.310 0.059 0.965  -0.02
9 Se 0.177 0.425 0.566  -0.04
10 Se 0.941 0.035 0.690  -0.02
11 Se 0.425 0.566 0.177  -0.04
12 Se 0.059 0.965 0.310  -0.02
13 Rh 0.000 0.000 0.000  0.39
14 Pa 0.129 0.630 0.298  1.15
15 Pa 0.630 0.298 0.129  1.15
16 Pa 0.702 0.871 0.370  1.15
17 Pa 0.370 0.702 0.871  1.15
18 Pa 0.871 0.370 0.702  1.15
19 Pa 0.298 0.129 0.630  1.15

Computed properties:
Size of the total moment = 8.3 μB/cell
ΔE_f (raw) = -1163.9 meV per atom
SG = R-3 (148)
Crystal system = trigonal

# 5
First-principles (GGA-PBE) data for crystalline Pa3RhSe2 at its relaxed geometry, as listed in the Alexandria database.

abc: 9.215 9.215 9.215
angles: 154.81 154.81 35.93
Positions (direct):
1 Pa 0.500 0.500 0.000
2 Pa 0.163 0.163 0.000
3 Pa 0.837 0.837 0.000
4 Se 0.670 0.670 0.000
5 Se 0.330 0.330 0.000
6 Rh 0.000 0.000 0.000

Computed properties:
Size of the total moment = 0.0 μB/cell
ΔE_f (raw) = -985.9 meV per atom
SG = I4/mmm (139)
Crystal system = tetragonal

# 6
First-principles (GGA-PBE) data for crystalline Pa2RhSe5 at its relaxed geometry, as listed in the Alexandria database.

abc: 5.614 6.781 12.509
angles: 90.00 90.00 114.45
Each line ends with the local moment (μB).
Positions (direct):
1 Se 0.656 0.313 0.920  -0.01
2 Se 0.656 0.313 0.580  -0.01
3 Se 0.298 0.596 0.750  -0.01
4 Se 0.702 0.404 0.250  -0.01
5 Se 0.344 0.687 0.080  -0.01
6 Se 0.943 0.886 0.877  -0.01
7 Se 0.057 0.114 0.123  -0.01
8 Se 0.344 0.687 0.420  -0.01
9 Se 0.943 0.886 0.623  -0.01
10 Se 0.057 0.114 0.377  -0.01
11 Pa 0.160 0.320 0.573  0.47
12 Pa 0.840 0.680 0.427  0.47
13 Pa 0.160 0.320 0.927  0.47
14 Pa 0.840 0.680 0.073  0.47
15 Rh 0.786 0.571 0.750  0.12
16 Rh 0.214 0.429 0.250  0.12

Computed properties:
Size of the total moment = 2.4 μB/cell
ΔE_f (raw) = -966.7 meV per atom
SG = Cmcm (63)
Crystal system = orthorhombic

# 7
First-principles (GGA-PBE) data for crystalline PaRhSe at its relaxed geometry, as listed in the Alexandria database.

abc: 4.506 4.506 8.644
angles: 74.89 74.89 60.00
Positions (direct):
1 Pa 0.755 0.755 0.736
2 Pa 0.245 0.245 0.264
3 Rh 0.859 0.859 0.423
4 Rh 0.141 0.141 0.577
5 Se 0.627 0.627 0.120
6 Se 0.373 0.373 0.880

Computed properties:
Size of the total moment = 0.0 μB/cell
ΔE_f (raw) = -756.2 meV per atom
SG = R-3m (166)
Crystal system = trigonal

# 8
First-principles (GGA-PBE) data for crystalline PaTlRhSe4 at its relaxed geometry, as listed in the Alexandria database.

abc: 6.862 6.055 9.073
angles: 90.00 103.34 90.00
Positions (direct):
1 Se 0.458 0.750 0.630
2 Se 0.019 0.992 0.712
3 Se 0.554 0.250 0.815
4 Se 0.019 0.508 0.712
5 Se 0.981 0.492 0.288
6 Se 0.981 0.008 0.288
7 Se 0.542 0.250 0.370
8 Se 0.446 0.750 0.185
9 Rh 0.753 0.250 0.619
10 Rh 0.247 0.750 0.381
11 Pa 0.743 0.750 0.454
12 Pa 0.257 0.250 0.546
13 Tl 0.745 0.750 0.962
14 Tl 0.255 0.250 0.038

Computed properties:
Size of the total moment = 0.0 μB/cell
ΔE_f (raw) = -751.9 meV per atom
SG = P2_1/m (11)
Crystal system = monoclinic